Entry 1:
First-principles (PBE) data for a relaxed NaAs2PtRh crystal, as listed in Alexandria via LeMat-Bulk.

Values from the calculation:
Electronic total energy: -5.2343 eV per atom
Symmetry: I-4m2, No. 119
Calculated density: 8.08 Mg/m³
Calculated formation energy: -432 meV per atom

Unit cell a=6.1834 b=6.1834 c=6.1834 alpha=140.02 beta=140.02 gamma=57.82
With the nearest neighbours (Å) after each atom.
Positions (direct):
Na  0.0000  0.0000  0.0000  8 As 3.29, 4 Rh 3.43, 4 Pt 3.43
As  0.3733  0.3733  0.0000  2 Rh 2.50, 2 Pt 2.50, 1 As 2.74
As  0.6267  0.6267  0.0000  2 Rh 2.50, 2 Pt 2.50, 1 As 2.74
Pt  0.2500  0.7500  0.5000  4 As 2.50
Rh  0.7500  0.2500  0.5000  4 As 2.50

Entry 2:
First-principles (PBE) data for a relaxed PmSm5Ga4 crystal, as listed in Alexandria via LeMat-Bulk.

Values from the calculation:
Electronic total energy: -4.3126 eV per atom
Symmetry: C2/m, No. 12
Calculated density: 6.60 Mg/m³
Offset from the most stable computed form: 172.6 meV/atom
Calculated formation energy: -267 meV per atom

Unit cell a=9.0468 b=9.0468 c=8.9045 alpha=96.67 beta=96.67 gamma=24.14
With the nearest neighbours (Å) after each atom.
Positions (direct):
Pm  0.0000  0.0000  0.0000  6 Ga 2.96-3.30
Sm  0.0000  0.0000  0.5000  4 Ga 2.93
Sm  0.3130  0.3130  0.6631  3 Ga 2.91-3.15
Sm  0.3502  0.3502  0.2203  4 Ga 3.03-3.10
Sm  0.6498  0.6498  0.7797  4 Ga 3.03-3.10
Sm  0.6870  0.6870  0.3369  3 Ga 2.91-3.15
Ga  0.1876  0.1876  0.0539  5 Sm 3.08-3.15, 2 Ga 3.14, 1 Pm 3.30
Ga  0.4773  0.4773  0.7423  4 Sm 2.91-3.03, 2 Pm 2.96
Ga  0.5227  0.5227  0.2577  4 Sm 2.91-3.03, 2 Pm 2.96
Ga  0.8124  0.8124  0.9461  5 Sm 3.08-3.15, 2 Ga 3.14, 1 Pm 3.30

Which of these has the highest calculated density? NaAs2PtRh

Which of these has the highest electronic total energy? PmSm5Ga4

What is the calculated formation energy in the first record? -432 meV per atom